{
  "formula": "AcAl12Ni6",
  "functional": "GGA-PBE",
  "state": "relaxed",
  "dft_energy_ha_per_atom": -0.17951,
  "formation_energy_ev_per_atom": -0.479,
  "total_magnetization_mub_per_cell": 0.00,
  "cell": [[5.504, 3.178, 2.833], [-5.504, 3.178, 2.833], [0.000, -6.355, 2.833]],
  "species": ["Ac", "Al", "Al", "Al", "Al", "Al", "Al", "Al", "Al", "Al", "Al", "Al", "Al", "Ni", "Ni", "Ni", "Ni", "Ni", "Ni"],
  "fractional_positions": [[0.000, 0.000, 0.000], [0.120, 0.500, 0.880], [0.120, 0.880, 0.500], [0.163, 0.426, 0.426], [0.426, 0.163, 0.426], [0.426, 0.426, 0.163], [0.500, 0.120, 0.880], [0.500, 0.880, 0.120], [0.574, 0.574, 0.837], [0.574, 0.837, 0.574], [0.837, 0.574, 0.574], [0.880, 0.120, 0.500], [0.880, 0.500, 0.120], [0.266, 0.266, 0.696], [0.266, 0.696, 0.266], [0.304, 0.734, 0.734], [0.696, 0.266, 0.266], [0.734, 0.304, 0.734], [0.734, 0.734, 0.304]]
}


{
  "formula": "AcAlNi4",
  "functional": "GGA-PBE",
  "state": "relaxed",
  "dft_energy_ha_per_atom": -0.19902,
  "formation_energy_ev_per_atom": -0.253,
  "total_magnetization_mub_per_cell": 0.00,
  "cell": [[7.019, 0.000, 0.000], [0.000, 3.848, 0.000], [0.000, 0.000, 7.472]],
  "species": ["Ac", "Ac", "Al", "Al", "Ni", "Ni", "Ni", "Ni", "Ni", "Ni", "Ni", "Ni"],
  "fractional_positions": [[0.250, 0.000, 0.144], [0.750, 0.000, 0.856], [0.250, 0.000, 0.706], [0.750, 0.000, 0.294], [0.000, 0.000, 0.500], [0.051, 0.500, 0.724], [0.250, 0.500, 0.456], [0.449, 0.500, 0.724], [0.500, 0.000, 0.500], [0.551, 0.500, 0.276], [0.750, 0.500, 0.544], [0.949, 0.500, 0.276]]
}


{
  "formula": "AcAl3Ni3",
  "functional": "GGA-PBE",
  "state": "relaxed",
  "dft_energy_ha_per_atom": -0.18273,
  "formation_energy_ev_per_atom": -0.304,
  "total_magnetization_mub_per_cell": 0.00,
  "cell": [[3.204, 1.850, 7.071], [-3.204, 1.850, 7.071], [0.000, -3.700, 7.071]],
  "species": ["Ac", "Ac", "Al", "Al", "Al", "Al", "Al", "Al", "Ni", "Ni", "Ni", "Ni", "Ni", "Ni"],
  "fractional_positions": [[0.158, 0.158, 0.158], [0.842, 0.842, 0.842], [0.066, 0.586, 0.233], [0.233, 0.066, 0.586], [0.414, 0.767, 0.934], [0.586, 0.233, 0.066], [0.767, 0.934, 0.414], [0.934, 0.414, 0.767], [0.195, 0.642, 0.394], [0.358, 0.606, 0.805], [0.394, 0.195, 0.642], [0.606, 0.805, 0.358], [0.642, 0.394, 0.195], [0.805, 0.358, 0.606]]
}


{
  "formula": "AcAlNi",
  "functional": "GGA-PBE",
  "state": "relaxed",
  "dft_energy_ha_per_atom": -0.17965,
  "formation_energy_ev_per_atom": -0.344,
  "total_magnetization_mub_per_cell": 0.00,
  "cell": [[4.332, 0.000, 0.000], [-2.166, 3.752, 0.000], [0.000, 0.000, 4.429]],
  "species": ["Ac", "Al", "Ni"],
  "fractional_positions": [[0.000, 0.000, 0.000], [0.667, 0.333, 0.500], [0.333, 0.667, 0.500]]
}